MnNi2PtO6 | PBE with a Hubbard U | optimized geometry

The structure belongs to space group P4mm (No. 99); the cell edges are 5.746, 5.746 and 3.851 Å and the angles 90.00°, 90.00° and 90.00°. The inequivalent atoms are Mn at (0.000, 0.000, 0.000), Ni at (0.000, 0.500, 0.183), Pt at (0.500, 0.500, 0.037), O at (0.000, 0.000, 0.520), O at (0.252, 0.252, 0.081) and O at (0.500, 0.500, 0.542).

The value obtained for the calculated density is 6.05 g cm⁻³. As for the final energy: -53.53 eV/cell.